## HfScTl2Si (GGA-PBE)

Data for an optimized crystal structure of HfScTl2Si.

Computed properties:
Spin magnetization in μB per cell: 0.0
ΔE_f (raw) in kcal/mol of atoms: 24.904

Lattice parameters (Å, degrees): 5.547 5.547 5.134 90.00 90.00 90.00
Element x y z (fractional)
Hf1 0.000 0.000 0.000
Sc1 0.000 0.000 0.500
Tl1 0.000 0.500 0.000
Tl2 0.500 0.000 0.000
Si1 0.500 0.500 0.500